No. 1
VASP calculation (GGA-PBE) on PrNb2Fe after structural relaxation.

Unit cell a=3.046 b=3.046 c=10.191 alpha=81.41 beta=81.41 gamma=60.00
Last column: magnetic moment on the atom in μB.
Atoms (fractional coordinates):
1 Fe 0.500 0.500 0.500  1.83
2 Nb 0.102 0.102 0.695  -0.20
3 Nb 0.898 0.898 0.305  -0.20
4 Pr 0.000 0.000 0.000  -0.02

Computed properties:
* total magnetization: 1.4 μB per cell
* SG: R-3m, No. 166
* energy: -7.720 eV per atom

---

No. 2
VASP calculation (GGA-PBE) on PrNbFe after structural relaxation.

Unit cell a=4.416 b=4.416 c=6.514 alpha=90.00 beta=90.00 gamma=90.00
Atoms (fractional coordinates):
1 Pr 0.500 0.000 0.132
2 Nb 0.500 0.500 0.500
3 Pr 0.000 0.500 0.868
4 Fe 0.500 0.000 0.681
5 Nb 0.000 0.000 0.500
6 Fe 0.000 0.500 0.319

Computed properties:
* total magnetization: 0.0 μB per cell
* SG: P4/nmm, No. 129
* energy: -7.720 eV per atom

---

No. 3
VASP calculation (GGA-PBE) on PrNbFe4 after structural relaxation.

Unit cell a=5.073 b=5.073 c=5.073 alpha=60.00 beta=60.00 gamma=60.00
Last column: magnetic moment on the atom in μB.
Atoms (fractional coordinates):
1 Fe 0.128 0.624 0.624  2.03
2 Fe 0.624 0.624 0.128  2.03
3 Pr 0.000 0.000 0.000  -0.26
4 Fe 0.624 0.128 0.624  2.03
5 Nb 0.250 0.250 0.250  -1.11
6 Fe 0.624 0.624 0.624  2.03

Computed properties:
* total magnetization: 6.3 μB per cell
* SG: F-43m, No. 216
* energy: -7.977 eV per atom

---

No. 4
VASP calculation (GGA-PBE) on NbFe2Pt2 after structural relaxation.

Unit cell a=4.353 b=6.723 c=5.122 alpha=139.64 beta=115.15 gamma=90.00
Last column: magnetic moment on the atom in μB.
Atoms (fractional coordinates):
1 Pt 0.425 0.213 0.851  0.20
2 Nb 0.000 0.000 0.000  -0.56
3 Pt 0.575 0.787 0.149  0.20
4 Fe 0.180 0.591 0.360  2.70
5 Fe 0.820 0.409 0.640  2.70

Computed properties:
* total magnetization: 5.2 μB per cell
* SG: R-3m, No. 166
* offset from the most stable computed form: 0 meV/atom

---

No. 5
VASP calculation (GGA-PBE) on Nb3Fe8Pt after structural relaxation.

Unit cell a=4.803 b=4.803 c=8.313 alpha=73.21 beta=73.21 gamma=60.00
Last column: magnetic moment on the atom in μB.
Atoms (fractional coordinates):
1 Fe 0.437 0.437 0.185  1.65
2 Nb 0.377 0.377 0.870  -0.47
3 Fe 0.938 0.938 0.688  1.70
4 Fe 0.688 0.688 0.936  1.76
5 Nb 0.503 0.503 0.491  -0.56
6 Nb 0.995 0.995 0.014  -0.52
7 Fe 0.940 0.437 0.185  1.65
8 Fe 0.437 0.940 0.185  1.65
9 Fe 0.437 0.938 0.688  1.70
10 Pt 0.874 0.874 0.379  0.14
11 Fe 0.187 0.187 0.439  1.88
12 Fe 0.938 0.437 0.688  1.70

Computed properties:
* total magnetization: 12.1 μB per cell
* SG: R3m, No. 160
* offset from the most stable computed form: 0 meV/atom

---

No. 6
VASP calculation (GGA-PBE) on Nb3FePt after structural relaxation.

Unit cell a=4.848 b=4.848 c=4.848 alpha=90.00 beta=90.00 gamma=90.00
Last column: magnetic moment on the atom in μB.
Atoms (fractional coordinates):
1 Pt 0.000 0.000 0.000  0.00
2 Nb 0.000 0.000 0.500  0.11
3 Nb 0.500 0.000 0.000  0.06
4 Nb 0.000 0.500 0.000  0.13
5 Fe 0.500 0.500 0.500  -0.15

Computed properties:
* total magnetization: 0.2 μB per cell
* SG: Pm-3m, No. 221
* offset from the most stable computed form: 1095 meV/atom

---

No. 7
VASP calculation (GGA-PBE) on NbFePt after structural relaxation.

Unit cell a=3.936 b=3.932 c=6.037 alpha=90.02 beta=109.00 gamma=90.00
Last column: magnetic moment on the atom in μB.
Atoms (fractional coordinates):
1 Nb 0.168 0.367 0.629  -0.32
2 Pt 0.651 0.867 0.595  0.01
3 Fe 0.311 0.866 0.916  0.99
4 Nb 0.959 0.866 0.210  -0.32
5 Pt 0.476 0.366 0.245  0.01
6 Fe 0.816 0.367 0.924  0.99

Computed properties:
* total magnetization: 1.3 μB per cell
* SG: P2_1/m, No. 11
* energy: -8.519 eV per atom

---

No. 8
VASP calculation (GGA-PBE) on Nb2FePt after structural relaxation.

Unit cell a=7.003 b=7.003 c=5.640 alpha=51.62 beta=51.62 gamma=90.00
Atoms (fractional coordinates):
1 Nb 0.875 0.843 0.750
2 Pt 0.000 0.000 0.000
3 Nb 0.593 0.125 0.250
4 Pt 0.750 0.250 0.500
5 Nb 0.157 0.625 0.250
6 Nb 0.375 0.407 0.750
7 Fe 0.250 0.750 0.500
8 Fe 0.500 0.500 0.000

Computed properties:
* total magnetization: 0.0 μB per cell
* SG: I-42d, No. 122
* offset from the most stable computed form: 473 meV/atom

---

No. 9
VASP calculation (GGA-PBE) on NbFePt after structural relaxation.

Unit cell a=2.718 b=4.418 c=4.418 alpha=120.00 beta=90.00 gamma=90.00
Last column: magnetic moment on the atom in μB.
Atoms (fractional coordinates):
1 Fe 0.167 0.333 0.667  2.53
2 Nb 0.666 0.667 0.333  -0.34
3 Pt 0.167 0.000 0.000  0.15

Computed properties:
* total magnetization: 2.3 μB per cell
* SG: P-6m2, No. 187
* energy: -8.425 eV per atom

---

No. 10
VASP calculation (GGA-PBE) on NbFe2Pt after structural relaxation.

Unit cell a=3.756 b=3.756 c=9.100 alpha=78.09 beta=78.09 gamma=90.00
Atoms (fractional coordinates):
1 Fe 0.375 0.303 0.750
2 Nb 0.250 0.750 0.500
3 Pt 0.750 0.250 0.500
4 Fe 0.697 0.125 0.250
5 Fe 0.875 0.947 0.750
6 Pt 0.000 0.000 0.000
7 Nb 0.500 0.500 0.000
8 Fe 0.053 0.625 0.250

Computed properties:
* total magnetization: 0.0 μB per cell
* SG: I-42d, No. 122
* energy: -7.854 eV per atom

---

No. 11
VASP calculation (GGA-PBE) on Nb2FePt after structural relaxation.

Unit cell a=2.856 b=2.856 c=7.568 alpha=90.00 beta=90.00 gamma=90.00
Atoms (fractional coordinates):
1 Nb 0.000 0.000 0.776
2 Pt 0.500 0.500 0.500
3 Nb 0.000 0.000 0.224
4 Fe 0.500 0.500 0.000

Computed properties:
* total magnetization: 0.0 μB per cell
* SG: P4/mmm, No. 123
* offset from the most stable computed form: 0 meV/atom

---

No. 12
VASP calculation (GGA-PBE) on NbFe2Pt5 after structural relaxation.

Unit cell a=4.779 b=5.513 c=9.768 alpha=90.00 beta=90.00 gamma=106.70
Last column: magnetic moment on the atom in μB.
Atoms (fractional coordinates):
1 Pt 0.088 0.274 0.756  0.20
2 Pt 0.547 0.140 0.619  0.21
3 Pt 0.088 0.774 0.744  0.20
4 Pt 0.000 0.500 0.500  0.20
5 Fe 0.541 0.631 0.618  3.04
6 Pt 0.912 0.726 0.244  0.20
7 Pt 0.912 0.226 0.256  0.20
8 Pt 0.000 0.000 0.000  0.20
9 Fe 0.459 0.869 0.118  3.04
10 Nb 0.000 0.000 0.500  -0.31
11 Pt 0.453 0.360 0.119  0.21
12 Pt 0.453 0.860 0.381  0.21
13 Pt 0.547 0.640 0.881  0.21
14 Fe 0.459 0.369 0.382  3.04
15 Fe 0.541 0.131 0.882  3.04
16 Nb 0.000 0.500 0.000  -0.31

Computed properties:
* total magnetization: 13.6 μB per cell
* SG: P2_1/c, No. 14
* energy: -7.464 eV per atom

---

No. 13
VASP calculation (GGA-PBE) on Nb3FePt after structural relaxation.

Unit cell a=4.531 b=4.531 c=4.531 alpha=90.00 beta=90.00 gamma=90.00
Atoms (fractional coordinates):
1 Nb 0.500 0.000 0.000
2 Nb 0.000 0.500 0.000
3 Fe 0.000 0.000 0.000
4 Pt 0.500 0.500 0.500
5 Nb 0.000 0.000 0.500

Computed properties:
* total magnetization: 0.0 μB per cell
* SG: Pm-3m, No. 221
* offset from the most stable computed form: 0 meV/atom

---

No. 14
VASP calculation (GGA-PBE) on Nb2FePt after structural relaxation.

Unit cell a=4.508 b=4.508 c=4.508 alpha=60.00 beta=60.00 gamma=60.00
Last column: magnetic moment on the atom in μB.
Atoms (fractional coordinates):
1 Fe 0.000 0.000 0.000  2.00
2 Nb 0.750 0.750 0.750  -0.23
3 Pt 0.500 0.500 0.500  -0.04
4 Nb 0.250 0.250 0.250  -0.23

Computed properties:
* total magnetization: 1.4 μB per cell
* SG: Fm-3m, No. 225
* offset from the most stable computed form: 194 meV/atom

---

No. 15
VASP calculation (GGA-PBE) on NbFePt after structural relaxation.

Unit cell a=3.901 b=3.901 c=6.168 alpha=100.16 beta=100.16 gamma=89.49
Last column: magnetic moment on the atom in μB.
Atoms (fractional coordinates):
1 Nb 0.092 0.092 0.289  -0.32
2 Nb 0.908 0.908 0.711  -0.32
3 Fe 0.500 0.000 0.000  0.91
4 Fe 0.000 0.500 0.000  0.91
5 Pt 0.408 0.408 0.701  0.01
6 Pt 0.592 0.592 0.299  0.01

Computed properties:
* total magnetization: 1.1 μB per cell
* SG: C2/m, No. 12
* energy: -8.452 eV per atom

---

No. 16
VASP calculation (GGA-PBE) on NbFe2Pt2 after structural relaxation.

Unit cell a=6.409 b=6.409 c=3.479 alpha=90.00 beta=90.00 gamma=90.00
Atoms (fractional coordinates):
1 Pt 0.165 0.665 0.500
2 Pt 0.335 0.165 0.500
3 Nb 0.500 0.500 0.000
4 Pt 0.665 0.835 0.500
5 Nb 0.000 0.000 0.000
6 Fe 0.128 0.372 0.000
7 Fe 0.872 0.628 0.000
8 Pt 0.835 0.335 0.500
9 Fe 0.628 0.128 0.000
10 Fe 0.372 0.872 0.000

Computed properties:
* total magnetization: 0.0 μB per cell
* SG: P4/mbm, No. 127
* offset from the most stable computed form: 247 meV/atom

---

No. 17
VASP calculation (GGA-PBE) on Nb2FePt after structural relaxation.

Unit cell a=4.018 b=3.960 c=3.960 alpha=90.00 beta=90.00 gamma=90.00
Last column: magnetic moment on the atom in μB.
Atoms (fractional coordinates):
1 Fe 0.500 0.000 0.000  1.85
2 Pt 0.500 0.500 0.500  -0.05
3 Nb 0.000 0.000 0.500  -0.20
4 Nb 0.000 0.500 0.000  -0.20

Computed properties:
* total magnetization: 1.4 μB per cell
* SG: P4/mmm, No. 123
* offset from the most stable computed form: 53 meV/atom

---

No. 18
VASP calculation (GGA-PBE) on Nb3Fe8Pt after structural relaxation.

Unit cell a=4.777 b=4.777 c=7.827 alpha=90.00 beta=90.00 gamma=120.00
Last column: magnetic moment on the atom in μB.
Atoms (fractional coordinates):
1 Fe 0.501 0.002 0.752  1.52
2 Fe 0.164 0.328 0.249  1.41
3 Fe 0.501 0.499 0.752  1.52
4 Fe 0.998 0.499 0.752  1.52
5 Fe 0.164 0.836 0.249  1.41
6 Nb 0.667 0.333 0.444  -0.48
7 Fe 0.672 0.836 0.249  1.41
8 Nb 0.000 0.000 0.923  -0.53
9 Nb 0.667 0.333 0.068  -0.43
10 Pt 0.000 0.000 0.560  0.12
11 Fe 0.333 0.667 0.003  0.82
12 Fe 0.333 0.667 0.498  1.51

Computed properties:
* total magnetization: 9.6 μB per cell
* SG: P3m1, No. 156
* offset from the most stable computed form: 16 meV/atom

---

No. 19
VASP calculation (GGA-PBE) on Nb2Fe2Pt after structural relaxation.

Unit cell a=6.810 b=6.810 c=3.167 alpha=90.00 beta=90.00 gamma=90.00
Last column: magnetic moment on the atom in μB.
Atoms (fractional coordinates):
1 Pt 0.000 0.000 0.000  -0.01
2 Pt 0.500 0.500 0.000  -0.01
3 Fe 0.125 0.375 0.000  0.99
4 Nb 0.822 0.322 0.500  -0.14
5 Nb 0.322 0.178 0.500  -0.14
6 Fe 0.875 0.625 0.000  0.99
7 Nb 0.178 0.678 0.500  -0.14
8 Fe 0.375 0.875 0.000  1.02
9 Nb 0.678 0.822 0.500  -0.14
10 Fe 0.625 0.125 0.000  1.03

Computed properties:
* total magnetization: 3.5 μB per cell
* SG: P4/mbm, No. 127
* energy: -8.836 eV per atom

---

No. 20
VASP calculation (GGA-PBE) on NbFe2Pt after structural relaxation.

Unit cell a=4.257 b=4.257 c=4.257 alpha=60.00 beta=60.00 gamma=60.00
Atoms (fractional coordinates):
1 Pt 0.500 0.500 0.500
2 Nb 0.000 0.000 0.000
3 Fe 0.250 0.250 0.250
4 Fe 0.750 0.750 0.750

Computed properties:
* total magnetization: 0.0 μB per cell
* SG: Fm-3m, No. 225
* energy: -8.217 eV per atom

---

No. 21
VASP calculation (GGA-PBE) on NbFePtRh after structural relaxation.

Unit cell a=3.836 b=3.880 c=3.955 alpha=90.00 beta=90.00 gamma=90.00
Last column: magnetic moment on the atom in μB.
Atoms (fractional coordinates):
1 Pt 0.500 0.000 0.500  0.05
2 Nb 0.500 0.500 0.000  -0.56
3 Fe 0.000 0.500 0.500  2.27
4 Rh 0.000 0.000 0.000  0.14

Computed properties:
* total magnetization: 1.8 μB per cell
* SG: Pmmm, No. 47
* energy: -8.438 eV per atom

---

No. 22
VASP calculation (GGA-PBE) on NbFeRuPt after structural relaxation.

Unit cell a=3.854 b=3.806 c=4.012 alpha=90.00 beta=90.00 gamma=90.00
Last column: magnetic moment on the atom in μB.
Atoms (fractional coordinates):
1 Nb 0.000 0.500 0.500  -0.37
2 Fe 0.500 0.500 0.000  2.27
3 Ru 0.500 0.000 0.500  0.17
4 Pt 0.000 0.000 0.000  0.04

Computed properties:
* total magnetization: 2.1 μB per cell
* SG: Pmmm, No. 47
* energy: -8.797 eV per atom

---

No. 23
VASP calculation (GGA-PBE) on TiNbFePt after structural relaxation.

Unit cell a=4.395 b=4.395 c=4.395 alpha=60.00 beta=60.00 gamma=60.00
Last column: magnetic moment on the atom in μB.
Atoms (fractional coordinates):
1 Pt 0.000 0.000 0.000  0.06
2 Ti 0.750 0.750 0.750  -0.20
3 Fe 0.250 0.250 0.250  2.00
4 Nb 0.500 0.500 0.500  -0.60

Computed properties:
* total magnetization: 1.2 μB per cell
* SG: F-43m, No. 216
* energy: -8.466 eV per atom

---

No. 24
VASP calculation (GGA-PBE) on PuNb2Fe after structural relaxation.

Unit cell a=2.919 b=2.919 c=10.112 alpha=81.70 beta=81.70 gamma=60.00
Last column: magnetic moment on the atom in μB.
Atoms (fractional coordinates):
1 Nb 0.098 0.098 0.707  -0.13
2 Pu 0.000 0.000 0.000  4.73
3 Nb 0.902 0.902 0.293  -0.13
4 Fe 0.500 0.500 0.500  1.90

Computed properties:
* total magnetization: 6.4 μB per cell
* SG: R-3m, No. 166
* offset from the most stable computed form: 334 meV/atom

---

No. 25
VASP calculation (GGA-PBE) on PuNb2Fe after structural relaxation.

Unit cell a=3.074 b=3.074 c=7.590 alpha=90.00 beta=90.00 gamma=90.00
Last column: magnetic moment on the atom in μB.
Atoms (fractional coordinates):
1 Pu 0.500 0.500 0.500  4.94
2 Fe 0.500 0.500 0.000  1.31
3 Nb 0.000 0.000 0.798  -0.24
4 Nb 0.000 0.000 0.202  -0.24

Computed properties:
* total magnetization: 5.9 μB per cell
* SG: P4/mmm, No. 123
* offset from the most stable computed form: 0 meV/atom

---

No. 26
VASP calculation (GGA-PBE) on RbNb2Fe2 after structural relaxation.

Unit cell a=8.017 b=8.017 c=2.960 alpha=90.00 beta=90.00 gamma=90.00
Atoms (fractional coordinates):
1 Fe 0.877 0.623 0.000
2 Nb 0.633 0.867 0.500
3 Nb 0.367 0.133 0.500
4 Fe 0.377 0.877 0.000
5 Fe 0.623 0.123 0.000
6 Nb 0.133 0.633 0.500
7 Fe 0.123 0.377 0.000
8 Rb 0.000 0.000 0.000
9 Rb 0.500 0.500 0.000
10 Nb 0.867 0.367 0.500

Computed properties:
* total magnetization: 0.0 μB per cell
* SG: P4/mbm, No. 127
* offset from the most stable computed form: 79 meV/atom

---

No. 27
VASP calculation (GGA-PBE) on RbNbFe3 after structural relaxation.

Unit cell a=4.351 b=4.351 c=4.351 alpha=90.00 beta=90.00 gamma=90.00
Atoms (fractional coordinates):
1 Rb 0.000 0.000 0.000
2 Fe 0.000 0.000 0.500
3 Fe 0.500 0.000 0.000
4 Fe 0.000 0.500 0.000
5 Nb 0.500 0.500 0.500

Computed properties:
* total magnetization: 0.0 μB per cell
* SG: Pm-3m, No. 221
* offset from the most stable computed form: 1394 meV/atom